(1)
Computed, not measured: an optimized crystal structure of Tb3Mg2Cd6 at the GGA-PBE level of DFT.

Lattice parameters (Å, degrees): 4.4083 4.4083 28.5847 90.00 90.00 90.00
Closest atoms and distances in Å follow each position.
Space group I4/mmm (No. 139)
Inequivalent atoms, fractional coordinates:
Tb 0.0000 0.0000 0.0000 x2  8 Mg 3.40
Tb 0.0000 0.0000 0.2058 x4  9 Cd 3.16-3.48
Mg 0.0000 0.0000 0.4522 x4  1 Mg 2.73, 4 Cd 2.86
Cd 0.0000 0.0000 0.3162 x4  4 Cd 3.02, 5 Tb 3.16-3.18
Cd 0.0000 0.5000 0.1115 x8  2 Mg 2.86, 6 Cd 3.02-3.12

Output
For the total energy, the calculation gives -2.1993 eV per atom. The density comes out at 7.17 g/cm3. For the formation energy, the calculation gives -0.147 eV/atom.

(2)
Computed, not measured: an optimized crystal structure of Tb5Mg4Cd at the GGA-PBE level of DFT.

Lattice parameters (Å, degrees): 3.7980 3.7980 18.8654 90.00 90.00 90.00
Closest atoms and distances in Å follow each position.
Space group P4/mmm (No. 123)
Inequivalent atoms, fractional coordinates:
Tb 0.0000 0.0000 0.0000 x1  8 Mg 3.29
Tb 0.0000 0.0000 0.2015 x2  8 Mg 3.27-3.29
Tb 0.0000 0.0000 0.4016 x2  4 Cd 3.27, 4 Mg 3.30
Mg 0.5000 0.5000 0.1006 x2  8 Tb 3.29
Mg 0.5000 0.5000 0.3003 x2  8 Tb 3.27-3.30
Cd 0.5000 0.5000 0.5000 x1  8 Tb 3.27

Output
For the total energy, the calculation gives -3.1759 eV per atom. The density comes out at 6.13 g/cm3. For the formation energy, the calculation gives -0.131 eV/atom.

(3)
Computed, not measured: an optimized crystal structure of Tb2MgCd2 at the GGA-PBE level of DFT.

Lattice parameters (Å, degrees): 4.7355 6.3733 8.7955 90.00 90.00 90.00
Closest atoms and distances in Å follow each position.
Space group Immm (No. 71)
Inequivalent atoms, fractional coordinates:
Tb 0.0000 0.0000 0.1988 x4  6 Cd 3.17-3.28, 1 Tb 3.50
Mg 0.0000 0.5000 0.0000 x2  4 Cd 2.94
Cd 0.0000 0.2731 0.5000 x4  1 Cd 2.89, 2 Mg 2.94, 2 Tb 3.17

Output
For the total energy, the calculation gives -2.7205 eV per atom. The density comes out at 7.09 g/cm3. As for the relative energy among the computed polymorphs: 22.7 meV/atom. For the formation energy, the calculation gives -0.183 eV/atom.

(4)
Computed, not measured: an optimized crystal structure of Tb8MgCd2 at the GGA-PBE level of DFT.

Lattice parameters (Å, degrees): 16.2700 5.3927 8.5388 90.00 120.84 90.00
Closest atoms and distances in Å follow each position.
Space group C2/m (No. 12)
Inequivalent atoms, fractional coordinates:
Tb 0.0665 0.0000 0.2236 x4  1 Cd 3.17, 6 Tb 3.28-3.51
Tb 0.0937 0.5000 0.9557 x4  3 Cd 3.28-3.31, 1 Mg 3.37, 4 Tb 3.50-3.67
Tb 0.1385 0.0000 0.6880 x4  3 Cd 3.22-3.31, 2 Mg 3.35, 1 Tb 3.51
Tb 0.1822 0.5000 0.4465 x4  1 Cd 3.18, 1 Mg 3.22, 4 Tb 3.28-3.30
Mg 0.0000 0.5000 0.5000 x2  8 Tb 3.22-3.37
Cd 0.2293 0.0000 0.1234 x4  8 Tb 3.17-3.31

Output
For the total energy, the calculation gives -3.7939 eV per atom. The density comes out at 7.85 g/cm3. As for the relative energy among the computed polymorphs: 0.0 meV/atom. For the formation energy, the calculation gives -0.115 eV/atom.

(5)
Computed, not measured: an optimized crystal structure of TbMg5Cd4 at the GGA-PBE level of DFT.

Lattice parameters (Å, degrees): 14.4818 4.9392 6.5921 90.00 104.24 90.00
Closest atoms and distances in Å follow each position.
Space group C2/m (No. 12)
Inequivalent atoms, fractional coordinates:
Tb 0.0000 0.0000 0.0000 x2  6 Cd 3.23-3.29, 8 Mg 3.30-3.49
Mg 0.0000 0.0000 0.5000 x2  6 Mg 3.20-3.33, 2 Tb 3.30, 6 Cd 3.33-3.43
Mg 0.1021 0.5000 0.3351 x4  4 Cd 2.84-3.03, 1 Mg 3.17
Mg 0.2125 0.0000 0.8405 x4  6 Cd 2.95-3.27, 3 Mg 3.17-3.25
Cd 0.0990 0.5000 0.8180 x4  4 Mg 2.84-3.08
Cd 0.2084 0.0000 0.3419 x4  5 Mg 2.90-3.09, 1 Cd 3.22

Output
For the total energy, the calculation gives -1.7851 eV per atom. The density comes out at 5.31 g/cm3. For the formation energy, the calculation gives -0.159 eV/atom.

(6)
Computed, not measured: an optimized crystal structure of Tb3MgCd7 at the GGA-PBE level of DFT.

Lattice parameters (Å, degrees): 3.5207 26.4874 12.2266 90.00 90.00 90.00
Closest atoms and distances in Å follow each position.
Space group Cmcm (No. 63)
Inequivalent atoms, fractional coordinates:
Tb 0.0000 0.0913 0.0767 x8  10 Cd 3.24-3.57, 2 Tb 3.52
Tb 0.0000 0.2196 0.7500 x4  7 Cd 3.27-3.29, 2 Tb 3.52
Mg 0.0000 0.0679 0.7500 x4  8 Cd 2.85-2.88
Cd 0.0000 0.2929 0.5347 x8  4 Cd 2.80-3.00
Cd 0.0000 0.3439 0.7500 x4  2 Cd 2.96, 5 Tb 3.25-3.29
Cd 0.0000 0.3676 0.1271 x8  2 Cd 2.80-3.01, 2 Mg 2.88
Cd 0.0000 0.4877 0.1111 x8  1 Cd 2.79, 2 Mg 2.85

Output
For the total energy, the calculation gives -2.1046 eV per atom. The density comes out at 7.50 g/cm3. For the formation energy, the calculation gives -0.114 eV/atom.

(7)
Computed, not measured: an optimized crystal structure of Tb3Mg2Cd7 at the GGA-PBE level of DFT.

Lattice parameters (Å, degrees): 4.9145 3.8739 15.9455 90.00 98.50 90.00
Closest atoms and distances in Å follow each position.
Space group P2/m (No. 10)
Inequivalent atoms, fractional coordinates:
Tb 0.0000 0.0000 0.0000 x1  8 Cd 3.08-3.13
Tb 0.3122 0.5000 0.6294 x2  8 Cd 3.35-3.65, 4 Mg 3.42-3.43
Mg 0.1447 0.0000 0.2822 x2  5 Cd 2.74-2.99
Cd 0.0798 0.5000 0.1515 x2  2 Mg 2.83, 2 Tb 3.08, 4 Cd 3.14-3.15
Cd 0.2289 0.0000 0.4560 x2  1 Mg 2.74, 2 Cd 2.82
Cd 0.4080 0.0000 0.8258 x2  2 Mg 2.99, 4 Cd 3.14-3.15
Cd 0.5000 0.5000 0.0000 x1  4 Tb 3.13, 8 Cd 3.36-3.45

Output
For the total energy, the calculation gives -2.1108 eV per atom. The density comes out at 7.26 g/cm3. As for the relative energy among the computed polymorphs: 0.0 meV/atom. For the formation energy, the calculation gives -0.154 eV/atom.

(8)
Computed, not measured: an optimized crystal structure of TbMg6Cd6 at the GGA-PBE level of DFT.

Lattice parameters (Å, degrees): 5.8925 9.9530 10.0174 90.00 90.00 90.00
Closest atoms and distances in Å follow each position.
Space group Immm (No. 71)
Inequivalent atoms, fractional coordinates:
Tb 0.0000 0.0000 0.0000 x2  8 Mg 3.49-3.61, 12 Cd 3.63-3.83
Mg 0.0000 0.0000 0.3491 x4  3 Mg 3.02-3.27, 6 Cd 3.06-3.23
Mg 0.0000 0.3503 0.0000 x4  3 Mg 2.98-3.29, 6 Cd 3.07-3.25
Mg 0.0000 0.5000 0.2925 x4  6 Cd 2.92-2.97, 2 Mg 3.27
Cd 0.0000 0.2872 0.5000 x4  4 Cd 2.93, 6 Mg 2.97-3.25
Cd 0.2500 0.2500 0.2500 x8  6 Mg 2.92-3.07, 4 Cd 2.93-2.95

Output
For the total energy, the calculation gives -1.6419 eV per atom. The density comes out at 5.54 g/cm3. For the formation energy, the calculation gives -0.127 eV/atom.

(9)
Computed, not measured: an optimized crystal structure of Tb4MgCd5 at the GGA-PBE level of DFT.

Lattice parameters (Å, degrees): 3.7111 3.7111 18.5458 90.00 90.00 90.00
Closest atoms and distances in Å follow each position.
Space group P4/mmm (No. 123)
Inequivalent atoms, fractional coordinates:
Tb 0.0000 0.0000 0.1030 x2  8 Cd 3.23-3.25
Tb 0.0000 0.0000 0.3078 x2  8 Cd 3.25-3.26, 1 Mg 3.56
Mg 0.0000 0.0000 0.5000 x1  8 Cd 3.09
Cd 0.5000 0.5000 0.0000 x1  8 Tb 3.25
Cd 0.5000 0.5000 0.2047 x2  8 Tb 3.23-3.25
Cd 0.5000 0.5000 0.4120 x2  4 Mg 3.09, 4 Tb 3.26, 1 Cd 3.26

Output
For the total energy, the calculation gives -2.7529 eV per atom. The density comes out at 7.95 g/cm3. For the formation energy, the calculation gives -0.284 eV/atom.

(10)
Computed, not measured: an optimized crystal structure of Tb3Mg3Cd at the GGA-PBE level of DFT.

Lattice parameters (Å, degrees): 10.8128 10.5133 6.9760 90.00 90.02 90.00
Closest atoms and distances in Å follow each position.
Space group C2/m (No. 12)
Inequivalent atoms, fractional coordinates:
Tb 0.0000 0.0000 0.2494 x4  2 Cd 3.36, 2 Tb 3.48-3.50, 4 Mg 3.50-3.53
Tb 0.2500 0.2503 0.2537 x8  2 Cd 3.14-3.15, 6 Mg 3.19-3.31, 1 Tb 3.44
Mg 0.0000 0.2919 0.0000 x4  4 Mg 3.22-3.51, 6 Tb 3.26-3.53
Mg 0.0000 0.3285 0.5000 x4  2 Cd 3.11, 4 Tb 3.31
Mg 0.2186 0.5000 0.9992 x4  6 Tb 3.19-3.51, 2 Mg 3.22, 2 Cd 3.48-3.50
Cd 0.2347 0.5000 0.5004 x4  3 Mg 3.11-3.48, 6 Tb 3.14-3.36

Output
For the total energy, the calculation gives -2.8122 eV per atom. The density comes out at 5.55 g/cm3. For the formation energy, the calculation gives -0.014 eV/atom.

(11)
Computed, not measured: an optimized crystal structure of TbMg2Cd3 at the GGA-PBE level of DFT.

Lattice parameters (Å, degrees): 4.9189 4.9189 13.3263 90.00 90.00 120.00
Closest atoms and distances in Å follow each position.
Space group P6_3/mmc (No. 194)
Inequivalent atoms, fractional coordinates:
Tb 0.0000 0.0000 0.2500 x2  8 Cd 3.22-3.33, 6 Mg 3.48
Mg 0.3333 0.6667 0.0988 x4  7 Cd 2.88-3.13
Cd 0.0000 0.0000 0.0000 x2  6 Mg 3.13, 2 Tb 3.33, 6 Cd 3.37
Cd 0.3333 0.6667 0.6357 x4  4 Mg 2.88-3.12, 1 Cd 3.05, 3 Tb 3.22

Output
For the total energy, the calculation gives -1.9695 eV per atom. The density comes out at 6.48 g/cm3. As for the relative energy among the computed polymorphs: 0.0 meV/atom. For the formation energy, the calculation gives -0.209 eV/atom.

(12)
Computed, not measured: an optimized crystal structure of Tb4Mg2Cd3 at the GGA-PBE level of DFT.

Lattice parameters (Å, degrees): 9.9836 5.0665 9.6255 90.00 102.74 90.00
Closest atoms and distances in Å follow each position.
Space group C2/m (No. 12)
Inequivalent atoms, fractional coordinates:
Tb 0.0370 0.0000 0.3342 x4  6 Cd 3.11-3.39, 3 Mg 3.22-3.23, 1 Tb 3.43
Tb 0.1510 0.5000 0.8993 x4  4 Cd 3.20-3.40, 4 Mg 3.33-3.54, 2 Tb 3.52
Mg 0.2058 0.5000 0.2536 x4  3 Cd 3.19-3.25, 7 Tb 3.22-3.54
Cd 0.0000 0.0000 0.0000 x2  8 Tb 3.16-3.40
Cd 0.1445 0.5000 0.5655 x4  1 Cd 2.88, 2 Tb 3.11-3.20, 1 Mg 3.19

Output
For the total energy, the calculation gives -2.8904 eV per atom. The density comes out at 7.14 g/cm3. For the formation energy, the calculation gives -0.173 eV/atom.

(13)
Computed, not measured: an optimized crystal structure of TbMg4Cd5 at the GGA-PBE level of DFT.

Lattice parameters (Å, degrees): 3.6209 3.6209 17.1578 90.00 90.00 90.00
Closest atoms and distances in Å follow each position.
Space group P4/mmm (No. 123)
Inequivalent atoms, fractional coordinates:
Tb 0.0000 0.0000 0.0000 x1  8 Cd 3.26, 4 Tb 3.62
Mg 0.0000 0.0000 0.2126 x2  8 Cd 3.04-3.05, 1 Mg 3.29
Mg 0.0000 0.0000 0.4043 x2  8 Cd 3.04, 2 Mg 3.28-3.29
Cd 0.5000 0.5000 0.1173 x2  4 Mg 3.04, 4 Tb 3.26, 1 Cd 3.29
Cd 0.5000 0.5000 0.3091 x2  8 Mg 3.04-3.05, 2 Cd 3.28-3.29
Cd 0.5000 0.5000 0.5000 x1  8 Mg 3.04, 2 Cd 3.28

Output
For the total energy, the calculation gives -1.7143 eV per atom. The density comes out at 6.04 g/cm3. For the formation energy, the calculation gives -0.156 eV/atom.

(14)
Computed, not measured: an optimized crystal structure of TbMgCd4 at the GGA-PBE level of DFT.

Lattice parameters (Å, degrees): 8.2802 8.2802 8.2802 90.00 90.00 90.00
Closest atoms and distances in Å follow each position.
Space group F-43m (No. 216)
Inequivalent atoms, fractional coordinates:
Tb 0.0000 0.0000 0.0000 x4  12 Cd 3.43, 4 Mg 3.59
Mg 0.2500 0.2500 0.2500 x4  12 Cd 3.43, 4 Tb 3.59
Cd 0.1255 0.1255 0.6255 x16  6 Cd 2.92-2.94

Output
For the total energy, the calculation gives -1.7629 eV per atom. The density comes out at 7.40 g/cm3. As for the relative energy among the computed polymorphs: 114.2 meV/atom. For the formation energy, the calculation gives -0.115 eV/atom.

(15)
Computed, not measured: an optimized crystal structure of Tb3Mg2Cd3 at the GGA-PBE level of DFT.

Lattice parameters (Å, degrees): 3.7691 5.2969 20.7228 90.00 90.00 90.00
Closest atoms and distances in Å follow each position.
Space group Immm (No. 71)
Inequivalent atoms, fractional coordinates:
Tb 0.0000 0.0000 0.0000 x2  8 Cd 3.23-3.25
Tb 0.0000 0.5000 0.1262 x4  6 Cd 3.22-3.25, 4 Mg 3.37-3.53
Mg 0.0000 0.0000 0.2390 x4  2 Cd 3.00, 4 Mg 3.28
Cd 0.0000 0.0000 0.5000 x2  8 Tb 3.22-3.25
Cd 0.0000 0.5000 0.3736 x4  2 Mg 3.00, 6 Tb 3.23-3.25

Output
For the total energy, the calculation gives -2.6900 eV per atom. The density comes out at 6.92 g/cm3. For the formation energy, the calculation gives -0.212 eV/atom.

(16)
Computed, not measured: an optimized crystal structure of Tb5MgCd6 at the GGA-PBE level of DFT.

Lattice parameters (Å, degrees): 5.2002 7.5234 15.7373 90.00 90.00 90.00
Closest atoms and distances in Å follow each position.
Space group Immm (No. 71)
Inequivalent atoms, fractional coordinates:
Tb 0.0000 0.0000 0.0000 x2  8 Cd 3.19-3.27
Tb 0.0000 0.0000 0.3331 x4  8 Cd 3.17-3.34
Tb 0.0000 0.5000 0.3321 x4  8 Cd 3.25-3.30
Mg 0.0000 0.5000 0.0000 x2  8 Cd 3.11-3.15
Cd 0.0000 0.2370 0.5000 x4  2 Mg 3.15, 6 Tb 3.17-3.30
Cd 0.0000 0.2591 0.1607 x8  1 Mg 3.11, 7 Tb 3.17-3.34

Output
For the total energy, the calculation gives -2.8244 eV per atom. The density comes out at 8.06 g/cm3. For the formation energy, the calculation gives -0.305 eV/atom.

(17)
Computed, not measured: an optimized crystal structure of TbMg3Cd9 at the GGA-PBE level of DFT.

Lattice parameters (Å, degrees): 6.0093 13.9576 7.5624 90.00 113.19 90.00
Closest atoms and distances in Å follow each position.
Space group C2/m (No. 12)
Inequivalent atoms, fractional coordinates:
Tb 0.0000 0.0000 0.0000 x2  14 Cd 3.41-3.79, 6 Mg 3.78-3.80
Mg 0.0000 0.0000 0.5000 x2  10 Cd 2.90-3.04
Mg 0.2500 0.2500 0.0000 x4  8 Cd 2.87-3.02, 2 Mg 3.00
Cd 0.0000 0.5000 0.5000 x2  8 Cd 2.93-3.06, 2 Mg 3.00
Cd 0.1137 0.3923 0.2133 x8  3 Mg 2.87-2.92, 5 Cd 2.93-3.21
Cd 0.1690 0.1739 0.3443 x8  3 Mg 3.01-3.04, 6 Cd 3.03-3.33

Output
For the total energy, the calculation gives -1.4961 eV per atom. The density comes out at 7.08 g/cm3. For the formation energy, the calculation gives -0.138 eV/atom.

(18)
Computed, not measured: an optimized crystal structure of TbThMgCd at the GGA-PBE level of DFT.

Lattice parameters (Å, degrees): 7.6196 7.6196 7.6196 90.00 90.00 90.00
Closest atoms and distances in Å follow each position.
Space group F-43m (No. 216)
Inequivalent atoms, fractional coordinates:
Tb 0.0000 0.0000 0.0000 x4  4 Cd 3.30, 4 Mg 3.30
Th 0.0000 0.0000 0.5000 x4  4 Cd 3.30, 4 Mg 3.30
Mg 0.2500 0.2500 0.2500 x4  4 Tb 3.30, 4 Th 3.30
Cd 0.2500 0.2500 0.7500 x4  4 Tb 3.30, 4 Th 3.30

Output
For the total energy, the calculation gives -3.7164 eV per atom. The density comes out at 7.92 g/cm3. For the formation energy, the calculation gives -0.076 eV/atom.

(19)
Computed, not measured: an optimized crystal structure of TbMgTlCd at the GGA-PBE level of DFT.

Lattice parameters (Å, degrees): 7.3462 7.3462 7.3462 90.00 90.00 90.00
Closest atoms and distances in Å follow each position.
Space group F-43m (No. 216)
Inequivalent atoms, fractional coordinates:
Tb 0.0000 0.0000 0.0000 x4  4 Cd 3.18, 4 Tl 3.18
Mg 0.0000 0.0000 0.5000 x4  4 Cd 3.18, 4 Tl 3.18
Tl 0.2500 0.2500 0.7500 x4  4 Tb 3.18, 4 Mg 3.18
Cd 0.2500 0.2500 0.2500 x4  4 Tb 3.18, 4 Mg 3.18

Output
For the total energy, the calculation gives -2.6558 eV per atom. The density comes out at 8.38 g/cm3. For the formation energy, the calculation gives -0.279 eV/atom.

(20)
Computed, not measured: an optimized crystal structure of TbMg2Tl2Cd2 at the GGA-PBE level of DFT.

Lattice parameters (Å, degrees): 8.3530 4.9947 8.7195 90.00 110.26 90.00
Closest atoms and distances in Å follow each position.
Space group C2/m (No. 12)
Inequivalent atoms, fractional coordinates:
Tb 0.0000 0.0000 0.0000 x2  6 Tl 3.18-3.21, 2 Mg 3.43
Mg 0.1415 0.0000 0.4187 x4  3 Cd 2.96-2.98, 3 Mg 3.12-3.15, 1 Tl 3.26
Tl 0.2296 0.5000 0.1826 x4  3 Cd 2.99-3.03, 3 Tb 3.18-3.21, 2 Mg 3.26-3.34
Cd 0.0604 0.5000 0.6905 x4  3 Mg 2.96-2.98, 3 Tl 2.99-3.03, 1 Cd 3.12

Output
For the total energy, the calculation gives -2.1802 eV per atom. The density comes out at 8.19 g/cm3. For the formation energy, the calculation gives -0.126 eV/atom.